# Mg2ReSe

Mg2ReSe at its PBEsol-relaxed geometry (SCAN, Alexandria).

a = 3.9579 Å, b = 3.9579 Å, c = 5.1334 Å
α = 112.68°, β = 112.68°, γ = 90.00°
Last column: nearest neighbours and their distance in Å.
Sites, in units of the cell vectors:
Mg (0.0000, 0.0000, 0.0000)  4 Re 2.80, 4 Se 2.92, 4 Mg 2.92
Mg (0.7500, 0.2500, 0.5000)  4 Se 2.80, 4 Re 2.92, 4 Mg 2.92
Re (0.5000, 0.5000, 0.0000)  8 Mg 2.80-2.92, 4 Se 2.92
Se (0.2500, 0.7500, 0.5000)  8 Mg 2.80-2.92, 4 Re 2.92

Properties
- calculated total energy (eV/atom) = -24.900
- V (Å³/cell) = 67.41
- symmetry = I-4m2, No. 119

***

# MgReSe2

MgReSe2 at its PBEsol-relaxed geometry (SCAN, Alexandria).

a = 5.8687 Å, b = 5.8687 Å, c = 6.8543 Å
α = 115.35°, β = 115.35°, γ = 90.00°
Last column: nearest neighbours and their distance in Å.
Sites, in units of the cell vectors:
Re (0.2500, 0.7500, 0.5000)  4 Se 2.39
Re (0.0000, 0.0000, 0.0000)  4 Se 2.39
Mg (0.7500, 0.2500, 0.5000)  4 Se 2.58
Mg (0.5000, 0.5000, 0.0000)  4 Se 2.58
Se (0.3478, 0.8750, 0.2500)  2 Re 2.39, 2 Mg 2.58
Se (0.9022, 0.3750, 0.2500)  2 Re 2.39, 2 Mg 2.58
Se (0.1250, 0.0978, 0.7500)  2 Re 2.39, 2 Mg 2.58
Se (0.6250, 0.6522, 0.7500)  2 Re 2.39, 2 Mg 2.58

Properties
- calculated total energy (eV/atom) = -29.073
- V (Å³/cell) = 187.89
- symmetry = I-42d, No. 122

***

# MgReSe2

MgReSe2 at its PBEsol-relaxed geometry (SCAN, Alexandria).

a = 3.1355 Å, b = 4.5567 Å, c = 4.5567 Å
α = 90.00°, β = 90.00°, γ = 90.00°
Last column: nearest neighbours and their distance in Å.
Sites, in units of the cell vectors:
Mg (0.5000, 0.5000, 0.5000)  8 Se 2.77
Re (0.5000, 0.0000, 0.0000)  8 Se 2.77
Se (0.0000, 0.0000, 0.5000)  4 Re 2.77, 4 Mg 2.77
Se (0.0000, 0.5000, 0.0000)  4 Re 2.77, 4 Mg 2.77

Properties
- calculated total energy (eV/atom) = -28.855
- V (Å³/cell) = 65.10
- symmetry = P4/mmm, No. 123

***

Short version: E_form (uncorrected) = 381 -16 202 meV per atom, in the order given.